# 1
{
  "formula": "Dy8ErTh6",
  "functional": "PBE",
  "state": "optimized geometry",
  "dft_energy_ev_per_atom": -5.573,
  "dos_ef_per_ev_fu": 27.0,
  "spacegroup": "R-3, No. 148",
  "lattice_angstrom": [[-5.295, 5.322, -4.473], [-6.936, 3.476, 4.022], [-0.014, 8.540, 1.853]],
  "species": ["Dy", "Dy", "Dy", "Dy", "Dy", "Dy", "Dy", "Dy", "Th", "Th", "Th", "Th", "Th", "Th", "Er"],
  "fractional_positions": [[0.580, 0.580, 0.580], [0.803, 0.121, 0.676], [0.676, 0.803, 0.121], [0.197, 0.879, 0.324], [0.879, 0.324, 0.197], [0.121, 0.676, 0.803], [0.324, 0.197, 0.879], [0.420, 0.420, 0.420], [0.074, 0.535, 0.264], [0.926, 0.465, 0.736], [0.264, 0.074, 0.535], [0.465, 0.736, 0.926], [0.736, 0.926, 0.465], [0.535, 0.264, 0.074], [0.000, 0.000, 0.000]]
}

# 2
{
  "formula": "Dy9ErTh2",
  "functional": "PBE",
  "state": "optimized geometry",
  "de_polymorph_ev_per_atom": 0.0000,
  "dos_ef_per_ev_fu": 17.7,
  "spacegroup": "P4/mmm, No. 123",
  "lattice_angstrom": [[5.018, 0.000, 0.000], [0.000, 5.018, 0.000], [0.000, 0.000, 14.996]],
  "species": ["Dy", "Dy", "Dy", "Dy", "Dy", "Dy", "Dy", "Dy", "Dy", "Er", "Th", "Th"],
  "fractional_positions": [[0.000, 0.500, 0.500], [0.000, 0.500, 0.168], [0.500, 0.500, 0.000], [0.500, 0.500, 0.667], [0.500, 0.000, 0.168], [0.500, 0.000, 0.832], [0.000, 0.500, 0.832], [0.500, 0.500, 0.333], [0.500, 0.000, 0.500], [0.000, 0.000, 0.000], [0.000, 0.000, 0.666], [0.000, 0.000, 0.334]]
}

# 3
{
  "formula": "Dy2Er5Th5",
  "functional": "PBE",
  "state": "optimized geometry",
  "dft_energy_ev_per_atom": -5.717,
  "dos_ef_per_ev_fu": 18.7,
  "spacegroup": "C2/m, No. 12",
  "lattice_angstrom": [[-1.562, -0.097, -4.763], [-7.909, -0.154, -0.041], [-3.349, 9.980, -1.743]],
  "species": ["Er", "Er", "Er", "Er", "Er", "Dy", "Dy", "Th", "Th", "Th", "Th", "Th"],
  "fractional_positions": [[0.500, 0.500, 0.500], [0.332, 0.332, 0.004], [0.584, 0.079, 0.752], [0.416, 0.921, 0.248], [0.668, 0.668, 0.996], [0.083, 0.584, 0.250], [0.917, 0.416, 0.750], [0.750, 0.247, 0.253], [0.000, 0.000, 0.000], [0.831, 0.836, 0.502], [0.169, 0.164, 0.498], [0.250, 0.753, 0.747]]
}

# 4
{
  "formula": "Dy4Er7Th",
  "functional": "PBE",
  "state": "optimized geometry",
  "de_polymorph_ev_per_atom": 0.2307,
  "dos_ef_per_ev_fu": 18.7,
  "spacegroup": "C2/m, No. 12",
  "lattice_angstrom": [[5.872, 0.000, 0.000], [2.936, 11.037, -0.311], [2.936, 0.163, 6.018]],
  "species": ["Er", "Er", "Er", "Er", "Er", "Er", "Er", "Dy", "Dy", "Dy", "Dy", "Th"],
  "fractional_positions": [[0.500, 0.000, 0.000], [0.940, 0.324, 0.796], [0.786, 0.923, 0.505], [0.366, 0.501, 0.766], [0.634, 0.499, 0.234], [0.214, 0.077, 0.495], [0.060, 0.676, 0.204], [0.754, 0.681, 0.811], [0.636, 0.224, 0.503], [0.364, 0.776, 0.497], [0.246, 0.319, 0.189], [0.000, 0.000, 0.000]]
}